[1]
# BeHg2Rh GGA-PBE relaxed
data_BeHg2Rh
_cell_length_a 3.936
_cell_length_b 3.936
_cell_length_c 8.595
_cell_angle_alpha 90.00
_cell_angle_beta 90.00
_cell_angle_gamma 90.00
_space_group_name_H-M_alt 'I -4 m 2'
_space_group_IT_number 119
_space_group_name_Hall 'I -4 -2'
loop_
_atom_site_label
_atom_site_fract_x
_atom_site_fract_y
_atom_site_fract_z
_atom_site_occupancy
Be1 0.000 0.000 0.000 1
Hg1 0.000 0.000 0.500 1
Hg2 0.000 0.500 0.750 1
Rh1 0.000 0.500 0.250 1
# - energy of formation (eV per atom) = 0.279
# - theoretical density (g/cm3) = 12.8
# - calculated volume (Å³ per cell) = 133
# - total energy (eV per cell) = -21.131

***

[2]
# Be2HgRh2 GGA-PBE relaxed
data_Be2HgRh2
_cell_length_a 6.548
_cell_length_b 6.548
_cell_length_c 2.975
_cell_angle_alpha 90.00
_cell_angle_beta 90.00
_cell_angle_gamma 90.00
_space_group_name_H-M_alt 'P 4/m b m'
_space_group_IT_number 127
_space_group_name_Hall '-P 4 2ab'
loop_
_atom_site_label
_atom_site_fract_x
_atom_site_fract_y
_atom_site_fract_z
_atom_site_occupancy
Be1 0.123 0.377 0.000 1
Hg1 0.000 0.000 0.000 1
Rh1 0.158 0.658 0.500 1
# - energy of formation (eV per atom) = -0.315
# - theoretical density (g/cm3) = 11.0
# - calculated volume (Å³ per cell) = 128
# - total energy (eV per cell) = -48.068

***

- What is the energy of formation in the first record?
  0.279 eV per atom